1.
KZn2Hg PBEsol optimized geometry; ΔE_f = 129 meV/atom; space-group type = P4/mmm (123)
1.0
3.684 0.000 0.000
0.000 3.684 0.000
0.000 0.000 7.280
K Zn Hg
1 2 1
Cartesian
0.000 0.000 0.000 K
1.842 1.842 2.325 Zn
1.842 1.842 4.955 Zn
0.000 0.000 3.640 Hg



2.
LaTc3Ni PBEsol optimized geometry; ΔE_f = 2487 meV/atom; space-group type = Pm-3m (221)
1.0
4.604 0.000 0.000
0.000 4.604 0.000
0.000 0.000 4.604
La Tc Ni
1 3 1
Cartesian
0.000 0.000 0.000 La
0.000 0.000 2.302 Tc
0.000 2.302 0.000 Tc
2.302 0.000 0.000 Tc
2.302 2.302 2.302 Ni



3.
K3AsS4 PBEsol optimized geometry; uncorrected formation energy = -677 kJ/mol of formula units; space-group type = Pnma (62)
1.0
9.007 0.000 0.000
0.000 10.474 0.000
0.000 0.000 9.358
K As S
12 4 16
Cartesian
0.557 0.463 1.865 K
0.557 4.773 1.865 K
1.269 7.855 3.944 K
3.234 2.618 8.623 K
3.946 5.700 6.543 K
3.946 10.010 6.543 K
5.061 0.463 2.814 K
5.061 4.773 2.814 K
5.773 7.855 0.735 K
7.738 2.618 5.414 K
8.450 5.700 7.493 K
8.450 10.010 7.493 K
2.014 7.855 9.164 As
2.490 2.618 4.485 As
6.517 7.855 4.872 As
6.993 2.618 0.193 As
0.089 7.855 0.858 S
1.379 0.814 4.991 S
1.379 4.423 4.991 S
1.656 7.855 7.013 S
2.848 2.618 2.334 S
3.124 6.051 0.312 S
3.124 9.660 0.312 S
4.415 2.618 5.537 S
4.592 7.855 3.820 S
5.883 0.814 9.046 S
5.883 4.423 9.046 S
6.159 7.855 7.023 S
7.351 2.618 2.344 S
7.628 6.051 4.367 S
7.628 9.660 4.367 S
8.918 2.618 8.499 S



Number 1: D(E_F) 0.41 states/eV/atom, electronic total energy -1.09 eV/atom. Number 2: D(E_F) 1.91 states/eV/atom, electronic total energy -6.57 eV/atom. Number 3: D(E_F) 0.00 states/eV/atom, electronic total energy -4.13 eV/atom.